DFT (PBE) results for a relaxed LaYSc2 crystal.

ΔE_f	0.1379	eV per atom

a = 5.508 Å, b = 5.508 Å, c = 5.508 Å
α = 60.00°, β = 60.00°, γ = 60.00°
Fractional positions:
La  0.000  0.000  0.000
Y  0.250  0.250  0.250
Sc  0.500  0.500  0.500
Sc  0.750  0.750  0.750



DFT (PBE) results for a relaxed BeMoP2Cl crystal.

uncorrected formation energy	0.727	eV/atom

a = 4.651 Å, b = 4.651 Å, c = 4.996 Å
α = 90.00°, β = 90.00°, γ = 90.00°
Fractional positions:
Be  0.000  0.000  0.000
Mo  0.500  0.500  0.500
P  0.000  0.500  0.500
P  0.500  0.000  0.500
Cl  0.500  0.500  0.000



| no. | total magnetic moment (μB per atom) |
| --- | --- |
| 1 | 0.000 |
| 2 | 0.000 |